[1]
Crystalline KTaCl2 at its relaxed geometry, computed with PBE.

## Properties
Energy relative to the elements, uncorrected = 0.739 eV per atom
DOS at the Fermi energy = 8.50 states/eV per cell
Excess energy over the best structure of this formula in the dataset = 1169 meV per atom

Unit cell a=5.3058 b=5.3058 c=5.3058 alpha=60.00 beta=60.00 gamma=60.00
Atoms (fractional coordinates):
1 Cl 0.0000 0.0000 0.0000
2 Cl 0.2500 0.2500 0.2500
3 K 0.5000 0.5000 0.5000
4 Ta 0.7500 0.7500 0.7500

[2]
Crystalline TlCr3Se at its relaxed geometry, computed with PBE.

## Properties
Energy relative to the elements, uncorrected = 1.422 eV per atom
DOS at the Fermi energy = 6.20 states/eV per cell
Excess energy over the best structure of this formula in the dataset = 728 meV per atom

Unit cell a=5.1250 b=5.1250 c=5.1250 alpha=90.00 beta=90.00 gamma=90.00
Atoms (fractional coordinates):
1 Cr 0.0000 0.5000 0.0000
2 Cr 0.5000 0.0000 0.0000
3 Cr 0.0000 0.0000 0.5000
4 Tl 0.0000 0.0000 0.0000
5 Se 0.5000 0.5000 0.5000

- Which formula does entry 1 have?
  KTaCl2

- DOS at the Fermi energy of number 1 (KTaCl2)?
  8.50 states/eV per cell

- The lowest energy relative to the elements, uncorrected belongs to which entry?
  KTaCl2

- Among the records above, which one has the lowest DOS at the Fermi energy?
  TlCr3Se